No. 1
Below is a geometry-optimized Ba2SrTa2 structure, with properties calculated at the PBE level.

Computed properties:
Its total magnetization is 0.0 μB/cell. For the energy above the lowest structure with this stoichiometry, the calculation gives 0 meV per atom. As for the formation energy: 717 meV per atom. As for the crystal system: tetragonal.

```
Ba2SrTa2
1.0
-0.603 1.292 3.577
3.368 -1.500 1.110
7.522 11.380 -0.771
Sr Ba Ta
1 2 2
Cartesian
0.000 0.000 0.000
3.038 2.993 1.504
7.249 8.180 2.413
4.151 6.284 2.575
6.136 4.888 1.341
```


No. 2
Below is a geometry-optimized BaSrTa2 structure, with properties calculated at the PBE level.

Computed properties:
Its total magnetization is 0.0 μB/cell. For the energy above the lowest structure with this stoichiometry, the calculation gives 882 meV per atom. As for the formation energy: 1438 meV per atom. As for the crystal system: tetragonal.

```
BaSrTa2
1.0
4.154 0.000 0.000
0.000 4.154 0.000
0.000 0.000 7.062
Ba Sr Ta
1 1 2
Cartesian
2.077 2.077 1.766
2.077 2.077 5.297
0.000 0.000 0.481
0.000 0.000 3.050
```


No. 3
Below is a geometry-optimized Ba4SrTa structure, with properties calculated at the PBE level.

Computed properties:
Its total magnetization is 4.6 μB/cell. As for the formation energy: 979 meV per atom. As for the crystal system: cubic.

```
Ba4SrTa
1.0
-5.684 4.371 2.059
-0.760 6.789 -2.997
-5.571 1.369 -4.770
Ba Sr Ta
4 1 1
Cartesian
-7.366 6.893 -1.087
-7.308 5.371 -4.548
-4.870 8.119 -3.650
-4.485 4.677 -2.131
-9.011 9.398 -4.281
0.000 0.000 0.000
```


No. 4
Below is a geometry-optimized Ba3SrTa structure, with properties calculated at the PBE level.

Computed properties:
Its total magnetization is 0.0 μB/cell. For the energy above the lowest structure with this stoichiometry, the calculation gives 1067 meV per atom. As for the formation energy: 1831 meV per atom. As for the crystal system: cubic.

```
Ba3SrTa
1.0
6.307 0.000 0.000
0.000 6.307 0.000
0.000 0.000 6.307
Sr Ba Ta
1 3 1
Cartesian
0.000 0.000 0.000
0.000 3.153 0.000
0.000 0.000 3.153
3.153 0.000 0.000
3.153 3.153 3.153
```


No. 5
Below is a geometry-optimized BaSr2Ta structure, with properties calculated at the PBE level.

Computed properties:
Its total magnetization is 2.2 μB/cell. For the energy above the lowest structure with this stoichiometry, the calculation gives 55 meV per atom. As for the formation energy: 886 meV per atom. As for the crystal system: orthorhombic.

```
BaSr2Ta
1.0
7.621 -0.054 0.049
6.665 3.696 0.049
2.648 0.675 5.782
Ba Sr Ta
1 2 1
Cartesian
3.665 0.934 1.747
0.002 0.001 0.000
13.270 3.382 4.131
8.466 2.158 2.943
```


No. 6
Below is a geometry-optimized BaSrTa3 structure, with properties calculated at the PBE level.

Computed properties:
Its total magnetization is 0.0 μB/cell. As for the formation energy: 2470 meV per atom. As for the crystal system: cubic.

```
BaSrTa3
1.0
5.232 0.000 0.000
0.000 5.232 0.000
0.000 0.000 5.232
Sr Ba Ta
1 1 3
Cartesian
2.616 2.616 2.616
0.000 0.000 0.000
0.000 2.616 0.000
0.000 0.000 2.616
2.616 0.000 0.000
```


No. 7
Below is a geometry-optimized Ba2SrTa2 structure, with properties calculated at the PBE level.

Computed properties:
Its total magnetization is 0.0 μB/cell. For the energy above the lowest structure with this stoichiometry, the calculation gives 346 meV per atom. As for the formation energy: 1063 meV per atom. As for the crystal system: tetragonal.

```
Ba2SrTa2
1.0
-0.124 -9.111 4.405
4.258 -4.043 -8.243
3.097 0.591 1.310
Sr Ba Ta
2 4 4
Cartesian
0.000 0.000 0.000
2.067 -6.577 -1.919
3.366 -5.960 -5.271
2.884 -10.116 -2.253
0.767 -7.194 1.433
1.250 -3.038 -1.585
4.033 -2.859 -3.797
5.367 -8.739 -4.296
3.198 -9.704 1.269
1.864 -3.823 1.768
```


No. 8
Below is a geometry-optimized Ba3SrTa structure, with properties calculated at the PBE level.

Computed properties:
Its total magnetization is 0.0 μB/cell. For the energy above the lowest structure with this stoichiometry, the calculation gives 0 meV per atom. As for the formation energy: 764 meV per atom. As for the crystal system: cubic.

```
Ba3SrTa
1.0
-3.709 4.645 -2.291
1.549 -1.694 -5.942
-4.942 -4.017 -0.143
Sr Ba Ta
1 3 1
Cartesian
-3.551 -0.533 -4.188
0.774 -0.847 -2.971
-2.471 -2.008 -0.072
-1.854 2.322 -1.145
0.000 0.000 0.000
```


No. 9
Below is a geometry-optimized BaSrTa2 structure, with properties calculated at the PBE level.

Computed properties:
Its total magnetization is 0.0 μB/cell. For the energy above the lowest structure with this stoichiometry, the calculation gives 573 meV per atom. As for the formation energy: 1129 meV per atom. As for the crystal system: monoclinic.

```
BaSrTa2
1.0
6.064 0.001 0.000
5.246 3.043 0.000
0.445 0.120 6.801
Ba Sr Ta
1 1 2
Cartesian
8.816 2.373 5.101
2.939 0.791 1.700
11.296 3.040 0.601
5.891 1.586 2.799
```


No. 10
Below is a geometry-optimized BaSrTa2 structure, with properties calculated at the PBE level.

Computed properties:
Its total magnetization is 0.0 μB/cell. For the energy above the lowest structure with this stoichiometry, the calculation gives 560 meV per atom. As for the formation energy: 1116 meV per atom. As for the crystal system: monoclinic.

```
BaSrTa2
1.0
5.858 0.000 0.000
0.000 3.172 -0.056
0.000 2.038 7.010
Ba Sr Ta
1 1 2
Cartesian
2.929 1.303 1.738
2.929 3.908 5.215
0.000 4.918 6.270
0.000 2.897 4.160
```


No. 11
Below is a geometry-optimized BaSrTaTc2 structure, with properties calculated at the PBE level.

Computed properties:
Its total magnetization is 2.4 μB/cell. As for the formation energy: 2390 meV per atom. As for the crystal system: tetragonal.

```
BaSrTaTc2
1.0
5.147 0.000 0.000
0.000 5.278 0.000
0.000 0.000 5.147
Tc Sr Ba Ta
2 1 1 1
Cartesian
0.000 0.000 2.574
2.574 0.000 0.000
2.574 2.639 2.574
0.000 0.000 0.000
0.000 2.639 0.000
```


No. 12
Below is a geometry-optimized BaSrTa2Ti structure, with properties calculated at the PBE level.

Computed properties:
Its total magnetization is 0.0 μB/cell. As for the formation energy: 1224 meV per atom. As for the crystal system: tetragonal.

```
BaSrTa2Ti
1.0
-3.928 1.554 -2.556
2.550 -0.467 -4.202
-1.941 -5.788 -0.535
Sr Ti Ba Ta
1 1 1 2
Cartesian
-1.660 -2.351 -3.646
0.000 0.000 0.000
-0.971 -2.894 -0.267
1.275 -0.233 -2.101
-1.964 0.777 -1.278
```